The following is a DFT calculation (PBEsol) of crystalline Mg2CdIr at its relaxed geometry.

The structure belongs to space group P4/mmm (No. 123); the cell edges are 3.1647, 3.1647 and 6.9439 Å and the angles 90.00°, 90.00° and 90.00°. The asymmetric unit holds Mg at (0.0000, 0.0000, 0.2099), Cd at (0.5000, 0.5000, 0.5000) and Ir at (0.5000, 0.5000, 0.0000).

The formation energy comes out at -239 meV per atom. The density of states at the Fermi level is 1.2 states/eV/cell. As for the total energy: -3.853 eV/atom.